Computed, not measured: a relaxed structure of SrCeCrSnO6 at the GGA+U level of DFT.

Geometry as extended XYZ:
```
10
Lattice="4.4909 -3.3445 0.9178 0.6628 -2.5433 5.0287 -0.6888 -5.6140 0.4527" Properties=species:S:1:pos:R:3 pbc="T T T"
O 3.3772 -4.5311 2.0430
Sr 3.3487 -8.6263 4.7994
O 1.4368 -4.1250 4.1268
Cr 0.0000 0.0000 0.0000
Ce 1.1162 -2.8754 1.5998
O 1.0877 -6.9707 4.3562
O 3.0281 -7.3768 2.2724
Sn 2.2325 -5.7509 3.1996
O 0.7517 -5.6815 1.8072
O 3.7132 -5.8203 4.5920
```

- VASP energy: -7.21 eV/atom
- Calculated density: 6.36 g/cm3